(1)
Th2ScTe2As2: optimized geometry, PBE-GGA.

```
data_Th2ScTe2As2
_chemical_formula_sum 'Th4 Sc2 Te4 As4'
_cell_length_a 5.0241
_cell_length_b 5.0241
_cell_length_c 15.9757
_cell_angle_alpha 90.00
_cell_angle_beta 90.00
_cell_angle_gamma 90.00
_space_group_name_H-M_alt 'I 4/m m m'
_space_group_IT_number 139
_space_group_name_Hall '-I 4 2'
loop_
_atom_site_label
_atom_site_type_symbol
_atom_site_fract_x
_atom_site_fract_y
_atom_site_fract_z
Th1 Th 0.0000 0.0000 0.1113
Sc1 Sc 0.0000 0.0000 0.5000
Te1 Te 0.0000 0.0000 0.3144
As1 As 0.0000 0.5000 0.0000
```

Results
- total moment (μB per cell) = 1.8
- N(E_F) (states/eV/f.u.) = 3.4
- calculated density (g/cm³) = 7.528
- volume (Å³/cell) = 403.3
- formation energy without anion corrections (eV per atom) = -1.049

(2)
LaH3Ir: optimized geometry, PBE-GGA.

```
data_LaH3Ir
_chemical_formula_sum 'La4 H12 Ir4'
_cell_length_a 4.9134
_cell_length_b 7.1672
_cell_length_c 7.8721
_cell_angle_alpha 90.00
_cell_angle_beta 90.00
_cell_angle_gamma 90.00
_space_group_name_H-M_alt 'I m m m'
_space_group_IT_number 71
_space_group_name_Hall '-I 2 2'
loop_
_atom_site_label
_atom_site_type_symbol
_atom_site_fract_x
_atom_site_fract_y
_atom_site_fract_z
La1 La 0.0000 0.0000 0.2441
H1 H 0.0000 0.5000 0.3271
H2 H 0.2329 0.1543 0.5000
Ir1 Ir 0.0000 0.3254 0.5000
```

Results
- total moment (μB per cell) = 0.0
- energy (eV per atom) = -5.227
- calculated density (g/cm³) = 8.006
- volume (Å³/cell) = 277.2

(3)
Rb2AcSn2O7: optimized geometry, PBE-GGA.

```
data_Rb2AcSn2O7
_chemical_formula_sum 'Rb4 Ac2 Sn4 O14'
_cell_length_a 4.1590
_cell_length_b 4.1590
_cell_length_c 22.9818
_cell_angle_alpha 90.00
_cell_angle_beta 90.00
_cell_angle_gamma 90.00
_space_group_name_H-M_alt 'I 4/m m m'
_space_group_IT_number 139
_space_group_name_Hall '-I 4 2'
loop_
_atom_site_label
_atom_site_type_symbol
_atom_site_fract_x
_atom_site_fract_y
_atom_site_fract_z
Rb1 Rb 0.0000 0.0000 0.1917
Ac1 Ac 0.0000 0.0000 0.0000
Sn1 Sn 0.0000 0.0000 0.4065
O1 O 0.0000 0.0000 0.3195
O2 O 0.0000 0.0000 0.5000
O3 O 0.0000 0.5000 0.0777
```

Results
- total moment (μB per cell) = 2.1
- N(E_F) (states/eV/f.u.) = 8.9
- calculated density (g/cm³) = 6.244
- volume (Å³/cell) = 397.5
- formation energy without anion corrections (eV per atom) = -1.887

(4)
ScAl2IrW: optimized geometry, PBE-GGA.

```
data_ScAl2IrW
_chemical_formula_sum 'Sc1 Al2 Ir1 W1'
_cell_length_a 4.5873
_cell_length_b 4.5873
_cell_length_c 4.9919
_cell_angle_alpha 90.00
_cell_angle_beta 90.00
_cell_angle_gamma 90.00
_space_group_name_H-M_alt 'P 4/m m m'
_space_group_IT_number 123
_space_group_name_Hall '-P 4 2'
loop_
_atom_site_label
_atom_site_type_symbol
_atom_site_fract_x
_atom_site_fract_y
_atom_site_fract_z
Sc1 Sc 0.0000 0.0000 0.0000
Al1 Al 0.0000 0.5000 0.5000
Ir1 Ir 0.5000 0.5000 0.5000
W1 W 0.5000 0.5000 0.0000
```

Results
- ΔE to the lowest computed polymorph (eV per atom) = 0.000
- total moment (μB per cell) = 0.0
- N(E_F) (states/eV/f.u.) = 2.9
- calculated density (g/cm³) = 7.508
- DFT formation energy (eV per atom) = 0.365
- volume (Å³/cell) = 105.0

(5)
Rb2InAs: optimized geometry, PBE-GGA.

```
data_Rb2InAs
_chemical_formula_sum 'Rb8 In4 As4'
_cell_length_a 12.7414
_cell_length_b 5.5872
_cell_length_c 11.9027
_cell_angle_alpha 90.00
_cell_angle_beta 120.34
_cell_angle_gamma 90.00
_space_group_name_H-M_alt 'C 1 2/c 1'
_space_group_IT_number 15
_space_group_name_Hall '-C 2yc'
loop_
_atom_site_label
_atom_site_type_symbol
_atom_site_fract_x
_atom_site_fract_y
_atom_site_fract_z
Rb1 Rb 0.1726 0.0952 0.0922
In1 In 0.0000 0.3738 0.2500
As1 As 0.0000 0.1291 0.7500
```

Results
- ΔE to the lowest computed polymorph (eV per atom) = 0.148
- total moment (μB per cell) = 0.0
- N(E_F) (states/eV/f.u.) = 2.8
- calculated density (g/cm³) = 3.276
- DFT formation energy (eV per atom) = -0.164
- volume (Å³/cell) = 731.3

(6)
AcLa7Tm4: optimized geometry, PBE-GGA.

```
data_AcLa7Tm4
_chemical_formula_sum 'Ac1 La7 Tm4'
_cell_length_a 6.4495
_cell_length_b 7.4080
_cell_length_c 9.1045
_cell_angle_alpha 89.85
_cell_angle_beta 76.43
_cell_angle_gamma 89.92
_space_group_name_H-M_alt 'P -1'
_space_group_IT_number 2
_space_group_name_Hall '-P 1'
loop_
_atom_site_label
_atom_site_type_symbol
_atom_site_fract_x
_atom_site_fract_y
_atom_site_fract_z
Ac1 Ac 0.0000 0.0000 0.0000
La1 La 0.0000 0.5000 0.0000
La2 La 0.2262 0.9999 0.3383
La3 La 0.2855 0.7453 0.6623
La4 La 0.4987 0.7409 0.0050
Tm1 Tm 0.2154 0.5000 0.3373
Tm2 Tm 0.2775 0.2608 0.6649
```

Results
- total moment (μB per cell) = 0.0
- N(E_F) (states/eV/f.u.) = 18.4
- calculated density (g/cm³) = 7.363
- DFT formation energy (eV per atom) = 0.016
- volume (Å³/cell) = 422.9

(7)
PmDyP2: optimized geometry, PBE-GGA.

```
data_PmDyP2
_chemical_formula_sum 'Pm1 Dy1 P2'
_cell_length_a 4.9659
_cell_length_b 4.9659
_cell_length_c 3.5219
_cell_angle_alpha 90.00
_cell_angle_beta 90.00
_cell_angle_gamma 90.00
_space_group_name_H-M_alt 'P 4/m m m'
_space_group_IT_number 123
_space_group_name_Hall '-P 4 2'
loop_
_atom_site_label
_atom_site_type_symbol
_atom_site_fract_x
_atom_site_fract_y
_atom_site_fract_z
Pm1 Pm 0.0000 0.0000 0.0000
Dy1 Dy 0.5000 0.5000 0.0000
P1 P 0.0000 0.5000 0.5000
```

Results
- ΔE to the lowest computed polymorph (eV per atom) = 0.530
- total moment (μB per cell) = 0.0
- N(E_F) (states/eV/f.u.) = 1.8
- calculated density (g/cm³) = 7.064
- DFT formation energy (eV per atom) = -1.055
- volume (Å³/cell) = 86.9

(8)
LiPaRhS4: optimized geometry, PBE-GGA.

```
data_LiPaRhS4
_chemical_formula_sum 'Li4 Pa4 Rh4 S16'
_cell_length_a 7.4061
_cell_length_b 8.2024
_cell_length_c 9.1712
_cell_angle_alpha 90.00
_cell_angle_beta 90.00
_cell_angle_gamma 90.00
_space_group_name_H-M_alt 'I m m a'
_space_group_IT_number 74
_space_group_name_Hall '-I 2b 2'
loop_
_atom_site_label
_atom_site_type_symbol
_atom_site_fract_x
_atom_site_fract_y
_atom_site_fract_z
Li1 Li 0.0000 0.2500 0.1762
Pa1 Pa 0.0000 0.0000 0.5000
Rh1 Rh 0.2500 0.2500 0.7500
S1 S 0.0000 0.0566 0.7815
S2 S 0.2303 0.2500 0.4748
```

Results
- total moment (μB per cell) = 0.0
- N(E_F) (states/eV/f.u.) = 3.3
- calculated density (g/cm³) = 5.593
- volume (Å³/cell) = 557.1
- formation energy without anion corrections (eV per atom) = -1.166

(9)
Pm2MgSe4: optimized geometry, PBE-GGA.

```
data_Pm2MgSe4
_chemical_formula_sum 'Pm8 Mg4 Se16'
_cell_length_a 13.4444
_cell_length_b 4.1130
_cell_length_c 14.5181
_cell_angle_alpha 90.00
_cell_angle_beta 90.00
_cell_angle_gamma 90.00
_space_group_name_H-M_alt 'P n m a'
_space_group_IT_number 62
_space_group_name_Hall '-P 2ac 2n'
loop_
_atom_site_label
_atom_site_type_symbol
_atom_site_fract_x
_atom_site_fract_y
_atom_site_fract_z
Pm1 Pm 0.1193 0.2500 0.0741
Pm2 Pm 0.1354 0.2500 0.7039
Mg1 Mg 0.1071 0.7500 0.4636
Se1 Se 0.9996 0.2500 0.3837
Se2 Se 0.0277 0.2500 0.8836
Se3 Se 0.2271 0.2500 0.2464
Se4 Se 0.2339 0.2500 0.5139
```

Results
- ΔE to the lowest computed polymorph (eV per atom) = 0.044
- total moment (μB per cell) = 0.0
- N(E_F) (states/eV/f.u.) = 0.0
- calculated density (g/cm³) = 5.214
- volume (Å³/cell) = 802.8
- formation energy without anion corrections (eV per atom) = -1.631

(10)
Ho3Er2Pt2: optimized geometry, PBE-GGA.

```
data_Ho3Er2Pt2
_chemical_formula_sum 'Ho6 Er4 Pt4'
_cell_length_a 12.1864
_cell_length_b 3.7342
_cell_length_c 8.9773
_cell_angle_alpha 90.00
_cell_angle_beta 116.18
_cell_angle_gamma 90.00
_space_group_name_H-M_alt 'C 1 2/m 1'
_space_group_IT_number 12
_space_group_name_Hall '-C 2y'
loop_
_atom_site_label
_atom_site_type_symbol
_atom_site_fract_x
_atom_site_fract_y
_atom_site_fract_z
Ho1 Ho 0.0000 0.0000 0.0000
Ho2 Ho 0.1145 0.0000 0.4351
Er1 Er 0.1643 0.5000 0.8130
Pt1 Pt 0.1755 0.5000 0.2375
```

Results
- total moment (μB per cell) = 0.0
- N(E_F) (states/eV/f.u.) = 8.3
- calculated density (g/cm³) = 11.047
- DFT formation energy (eV per atom) = -0.806
- volume (Å³/cell) = 366.6

(11)
Sr2LiGaF: optimized geometry, PBE-GGA.

```
data_Sr2LiGaF
_chemical_formula_sum 'Sr2 Li1 Ga1 F1'
_cell_length_a 5.3990
_cell_length_b 5.3990
_cell_length_c 4.1364
_cell_angle_alpha 90.00
_cell_angle_beta 90.00
_cell_angle_gamma 90.00
_space_group_name_H-M_alt 'P 4/m m m'
_space_group_IT_number 123
_space_group_name_Hall '-P 4 2'
loop_
_atom_site_label
_atom_site_type_symbol
_atom_site_fract_x
_atom_site_fract_y
_atom_site_fract_z
Sr1 Sr 0.0000 0.5000 0.0000
Li1 Li 0.0000 0.0000 0.5000
Ga1 Ga 0.5000 0.5000 0.5000
F1 F 0.0000 0.0000 0.0000
```

Results
- total moment (μB per cell) = 0.0
- N(E_F) (states/eV/f.u.) = 1.4
- calculated density (g/cm³) = 3.731
- volume (Å³/cell) = 120.6
- formation energy without anion corrections (eV per atom) = -1.281

(12)
MgAlGe2: optimized geometry, PBE-GGA.

```
data_MgAlGe2
_chemical_formula_sum 'Mg1 Al1 Ge2'
_cell_length_a 4.3968
_cell_length_b 4.3968
_cell_length_c 3.8361
_cell_angle_alpha 90.00
_cell_angle_beta 90.00
_cell_angle_gamma 90.00
_space_group_name_H-M_alt 'P 4/m m m'
_space_group_IT_number 123
_space_group_name_Hall '-P 4 2'
loop_
_atom_site_label
_atom_site_type_symbol
_atom_site_fract_x
_atom_site_fract_y
_atom_site_fract_z
Mg1 Mg 0.0000 0.0000 0.0000
Al1 Al 0.5000 0.5000 0.0000
Ge1 Ge 0.0000 0.5000 0.5000
```

Results
- total moment (μB per cell) = 0.0
- N(E_F) (states/eV/f.u.) = 1.3
- calculated density (g/cm³) = 4.401
- DFT formation energy (eV per atom) = 0.034
- volume (Å³/cell) = 74.2

(13)
CeAgPb2: optimized geometry, PBE-GGA.

```
data_CeAgPb2
_chemical_formula_sum 'Ce1 Ag1 Pb2'
_cell_length_a 4.8435
_cell_length_b 4.8435
_cell_length_c 4.5528
_cell_angle_alpha 90.00
_cell_angle_beta 90.00
_cell_angle_gamma 90.00
_space_group_name_H-M_alt 'P 4/m m m'
_space_group_IT_number 123
_space_group_name_Hall '-P 4 2'
loop_
_atom_site_label
_atom_site_type_symbol
_atom_site_fract_x
_atom_site_fract_y
_atom_site_fract_z
Ce1 Ce 0.0000 0.0000 0.0000
Ag1 Ag 0.5000 0.5000 0.0000
Pb1 Pb 0.0000 0.5000 0.5000
```

Results
- ΔE to the lowest computed polymorph (eV per atom) = 0.000
- total moment (μB per cell) = 0.9
- N(E_F) (states/eV/f.u.) = 5.2
- calculated density (g/cm³) = 10.298
- DFT formation energy (eV per atom) = -0.280
- volume (Å³/cell) = 106.8

(14)
Ag4SbO4: optimized geometry, PBE-GGA.

```
data_Ag4SbO4
_chemical_formula_sum 'Ag8 Sb2 O8'
_cell_length_a 5.9340
_cell_length_b 5.9340
_cell_length_c 9.0955
_cell_angle_alpha 90.00
_cell_angle_beta 90.00
_cell_angle_gamma 90.00
_space_group_name_H-M_alt 'I -4 2 m'
_space_group_IT_number 121
_space_group_name_Hall 'I -4 2'
loop_
_atom_site_label
_atom_site_type_symbol
_atom_site_fract_x
_atom_site_fract_y
_atom_site_fract_z
Ag1 Ag 0.0000 0.0000 0.1502
Ag2 Ag 0.0000 0.5000 0.0000
Sb1 Sb 0.0000 0.0000 0.5000
O1 O 0.1817 0.1817 0.6335
```

Results
- total moment (μB per cell) = 0.0
- N(E_F) (states/eV/f.u.) = 1.4
- calculated density (g/cm³) = 6.400
- volume (Å³/cell) = 320.3
- formation energy without anion corrections (eV per atom) = -0.289

(15)
Y7In2Co2: optimized geometry, PBE-GGA.

```
data_Y7In2Co2
_chemical_formula_sum 'Y14 In4 Co4'
_cell_length_a 7.8878
_cell_length_b 11.0468
_cell_length_c 6.9922
_cell_angle_alpha 90.00
_cell_angle_beta 90.00
_cell_angle_gamma 90.00
_space_group_name_H-M_alt 'C m m m'
_space_group_IT_number 65
_space_group_name_Hall '-C 2 2'
loop_
_atom_site_label
_atom_site_type_symbol
_atom_site_fract_x
_atom_site_fract_y
_atom_site_fract_z
Y1 Y 0.0000 0.0000 0.0000
Y2 Y 0.0000 0.5000 0.2344
Y3 Y 0.2500 0.2500 0.2431
In1 In 0.1775 0.0000 0.5000
Co1 Co 0.0000 0.2926 0.0000
```

Results
- total moment (μB per cell) = 0.0
- N(E_F) (states/eV/f.u.) = 11.6
- calculated density (g/cm³) = 5.287
- DFT formation energy (eV per atom) = -0.180
- volume (Å³/cell) = 609.3

(16)
B6PdPt12: optimized geometry, PBE-GGA.

```
data_B6PdPt12
_chemical_formula_sum 'B18 Pd3 Pt36'
_cell_length_a 12.1859
_cell_length_b 12.1859
_cell_length_c 6.0099
_cell_angle_alpha 90.00
_cell_angle_beta 90.00
_cell_angle_gamma 120.00
_space_group_name_H-M_alt 'R -3'
_space_group_IT_number 148
_space_group_name_Hall '-R 3'
loop_
_atom_site_label
_atom_site_type_symbol
_atom_site_fract_x
_atom_site_fract_y
_atom_site_fract_z
B1 B 0.0688 0.8811 0.2375
Pd1 Pd 0.0000 0.0000 0.5000
Pt1 Pt 0.0425 0.4413 0.1475
Pt2 Pt 0.0721 0.8762 0.8493
```

Results
- total moment (μB per cell) = 0.0
- N(E_F) (states/eV/f.u.) = 7.7
- calculated density (g/cm³) = 16.193
- DFT formation energy (eV per atom) = -0.224
- volume (Å³/cell) = 772.9

(17)
Li4Dy3UTe8: optimized geometry, PBE-GGA.

```
data_Li4Dy3UTe8
_chemical_formula_sum 'Li12 Dy9 U3 Te24'
_cell_length_a 8.6826
_cell_length_b 8.6826
_cell_length_c 21.2057
_cell_angle_alpha 90.00
_cell_angle_beta 90.00
_cell_angle_gamma 120.00
_space_group_name_H-M_alt 'R -3 m'
_space_group_IT_number 166
_space_group_name_Hall '-R 3 2"'
loop_
_atom_site_label
_atom_site_type_symbol
_atom_site_fract_x
_atom_site_fract_y
_atom_site_fract_z
Li1 Li 0.0000 0.0000 0.0000
Li2 Li 0.0000 0.5000 0.0000
Dy1 Dy 0.0000 0.5000 0.5000
U1 U 0.0000 0.0000 0.5000
Te1 Te 0.0000 0.0000 0.2519
Te2 Te 0.0027 0.5014 0.7475
```

Results
- total moment (μB per cell) = 8.9
- N(E_F) (states/eV/f.u.) = 6.3
- calculated density (g/cm³) = 6.384
- volume (Å³/cell) = 1384.4
- formation energy without anion corrections (eV per atom) = -1.147

(18)
CaCo2Pb2: optimized geometry, PBE-GGA.

```
data_CaCo2Pb2
_chemical_formula_sum 'Ca2 Co4 Pb4'
_cell_length_a 4.2826
_cell_length_b 4.2826
_cell_length_c 11.8479
_cell_angle_alpha 90.00
_cell_angle_beta 90.00
_cell_angle_gamma 90.00
_space_group_name_H-M_alt 'I 4/m m m'
_space_group_IT_number 139
_space_group_name_Hall '-I 4 2'
loop_
_atom_site_label
_atom_site_type_symbol
_atom_site_fract_x
_atom_site_fract_y
_atom_site_fract_z
Ca1 Ca 0.0000 0.0000 0.0000
Co1 Co 0.0000 0.5000 0.2500
Pb1 Pb 0.0000 0.0000 0.3692
```

Results
- ΔE to the lowest computed polymorph (eV per atom) = 0.000
- total moment (μB per cell) = 0.0
- N(E_F) (states/eV/f.u.) = 2.8
- calculated density (g/cm³) = 8.748
- DFT formation energy (eV per atom) = 0.147
- volume (Å³/cell) = 217.3

(19)
InFe2Se: optimized geometry, PBE-GGA.

```
data_InFe2Se
_chemical_formula_sum 'In4 Fe8 Se4'
_cell_length_a 6.1572
_cell_length_b 6.1572
_cell_length_c 6.1572
_cell_angle_alpha 90.00
_cell_angle_beta 90.00
_cell_angle_gamma 90.00
_space_group_name_H-M_alt 'F m -3 m'
_space_group_IT_number 225
_space_group_name_Hall '-F 4 2 3'
loop_
_atom_site_label
_atom_site_type_symbol
_atom_site_fract_x
_atom_site_fract_y
_atom_site_fract_z
In1 In 0.0000 0.0000 0.0000
Fe1 Fe 0.2500 0.2500 0.2500
Se1 Se 0.0000 0.0000 0.5000
```

Results
- ΔE to the lowest computed polymorph (eV per atom) = 0.518
- total moment (μB per cell) = 0.0
- N(E_F) (states/eV/f.u.) = 4.9
- calculated density (g/cm³) = 8.692
- volume (Å³/cell) = 233.4
- formation energy without anion corrections (eV per atom) = 0.590

(20)
Ba2ScTa: optimized geometry, PBE-GGA.

```
data_Ba2ScTa
_chemical_formula_sum 'Ba4 Sc2 Ta2'
_cell_length_a 12.0936
_cell_length_b 3.4174
_cell_length_c 6.1045
_cell_angle_alpha 90.00
_cell_angle_beta 99.98
_cell_angle_gamma 90.00
_space_group_name_H-M_alt 'C 1 2/m 1'
_space_group_IT_number 12
_space_group_name_Hall '-C 2y'
loop_
_atom_site_label
_atom_site_type_symbol
_atom_site_fract_x
_atom_site_fract_y
_atom_site_fract_z
Ba1 Ba 0.2344 0.0000 0.2427
Sc1 Sc 0.0000 0.0000 0.5000
Ta1 Ta 0.0000 0.5000 0.0000
```

Results
- ΔE to the lowest computed polymorph (eV per atom) = 0.389
- total moment (μB per cell) = 0.7
- N(E_F) (states/eV/f.u.) = 6.1
- calculated density (g/cm³) = 6.691
- DFT formation energy (eV per atom) = 0.990
- volume (Å³/cell) = 248.5